Material: Sr3CrAs2O8
Method: DFT, PBE+U
State: optimized geometry

For the density of states at the Fermi level, the calculation gives 3.69 states/eV/cell. The calculation puts the total energy at -88.0 eV per cell.

The structure belongs to space group P-3m1 (No. 164); the cell edges are 5.7343, 5.7343 and 7.3154 Å and the angles 90.00°, 90.00° and 120.00°. The asymmetric unit holds Sr at (0.0000, 0.0000, 0.0000), Sr at (0.3333, 0.6667, 0.6340), Cr at (0.0000, 0.0000, 0.5000), As at (0.3333, 0.6667, 0.2021), O at (0.1642, 0.3284, 0.3262) and O at (0.3333, 0.6667, 0.9532).